VASP calculation (PBE-GGA) on BaMgTa2 after structural relaxation.

As for the density: 7.42 g/cm³. Its symmetry is I-42d (122).

Lattice parameters (Å, degrees): 4.661 4.661 11.277 78.07 78.07 90.00
Fractional coordinates of all 8 atoms:
Mg: 0.500 0.500 0.000
Mg: 0.250 0.750 0.500
Ba: 0.000 0.000 0.000
Ba: 0.750 0.250 0.500
Ta: 0.490 0.125 0.250
Ta: 0.260 0.625 0.250
Ta: 0.375 0.510 0.750
Ta: 0.875 0.740 0.750

=====

VASP calculation (PBE-GGA) on BaMgTa2 after structural relaxation.

As for the density: 7.98 g/cm³. Its symmetry is Cm (8).

Lattice parameters (Å, degrees): 5.004 5.004 7.474 85.88 85.88 35.71
Fractional coordinates of all 4 atoms:
Ba: 0.506 0.506 0.517
Mg: 0.263 0.263 0.180
Ta: 0.997 0.997 0.952
Ta: 0.734 0.734 0.851

=====

VASP calculation (PBE-GGA) on BaMgTa2 after structural relaxation.

As for the density: 9.32 g/cm³. Its symmetry is R-3m (166).

Lattice parameters (Å, degrees): 11.682 11.682 11.682 15.02 15.02 15.02
Fractional coordinates of all 4 atoms:
Ba: 0.250 0.250 0.250
Mg: 0.750 0.750 0.750
Ta: 0.010 0.010 0.010
Ta: 0.490 0.490 0.490

=====

VASP calculation (PBE-GGA) on BaMgTa2 after structural relaxation.

As for the density: 9.11 g/cm³. Its symmetry is Immm (71).

Lattice parameters (Å, degrees): 6.669 6.669 6.669 153.63 133.30 54.43
Fractional coordinates of all 4 atoms:
Ba: 0.250 0.750 0.500
Mg: 0.750 0.250 0.500
Ta: 0.976 0.976 0.000
Ta: 0.524 0.524 0.000

=====

| no. | electronic total energy (eV/cell) |
| --- | --- |
| 1 | -44.27 |
| 2 | -24.40 |
| 3 | -23.46 |
| 4 | -23.59 |